Model w:
Compound: NaBAsBr2
Source: Alexandria
Functional: PBE
Structure: optimized geometry

Lattice parameters (Å, degrees): 5.364 5.364 4.046 90.00 90.00 90.00
Fractional positions:
Na (0.500, 0.500, 0.500)
As (0.000, 0.000, 0.500)
B (0.000, 0.000, 0.000)
Br (0.000, 0.500, 0.000)
Br (0.500, 0.000, 0.000)

Output
* D(E_F): 2.12 states/eV/f.u.
* magnetic moment: 0.0 μB/f.u.
* space-group type: P4/mmm, No. 123



Model x:
Compound: NaBAsBr2
Source: Alexandria
Functional: PBE
Structure: optimized geometry

Lattice parameters (Å, degrees): 5.453 5.453 5.590 90.00 90.00 90.00
Fractional positions:
Na (0.000, 0.000, 0.000)
As (0.000, 0.000, 0.500)
B (0.500, 0.500, 0.500)
Br (0.000, 0.500, 0.000)
Br (0.500, 0.000, 0.000)

Output
* D(E_F): 1.59 states/eV/f.u.
* magnetic moment: 3.0 μB/f.u.
* space-group type: P4/mmm, No. 123



Verdict on stability: model w comes out on top.



Model w:
Compound: NbBAsBr2
Source: Alexandria
Functional: PBE
Structure: optimized geometry

Lattice parameters (Å, degrees): 5.174 5.174 5.082 90.00 90.00 90.00
Fractional positions:
Nb (0.000, 0.000, 0.000)
B (0.500, 0.500, 0.500)
As (0.000, 0.000, 0.500)
Br (0.000, 0.500, 0.000)
Br (0.500, 0.000, 0.000)

Output
* D(E_F): 2.70 states/eV/f.u.
* magnetic moment: 0.2 μB/f.u.
* space-group type: P4/mmm, No. 123



Model x:
Compound: NbBAsBr2
Source: Alexandria
Functional: PBE
Structure: optimized geometry

Lattice parameters (Å, degrees): 4.529 4.529 4.638 90.00 90.00 90.00
Fractional positions:
Nb (0.500, 0.500, 0.500)
B (0.000, 0.000, 0.000)
As (0.000, 0.000, 0.500)
Br (0.000, 0.500, 0.000)
Br (0.500, 0.000, 0.000)

Output
* D(E_F): 3.05 states/eV/f.u.
* magnetic moment: 2.0 μB/f.u.
* space-group type: P4/mmm, No. 123



Verdict on stability: model w comes out on top.



Model w:
Compound: BAs2OsBr
Source: Alexandria
Functional: PBE
Structure: optimized geometry

Lattice parameters (Å, degrees): 4.689 4.689 5.555 90.00 90.00 90.00
Fractional positions:
As (0.000, 0.500, 0.000)
As (0.500, 0.000, 0.000)
B (0.500, 0.500, 0.500)
Os (0.000, 0.000, 0.000)
Br (0.000, 0.000, 0.500)

Output
* D(E_F): 3.62 states/eV/f.u.
* magnetic moment: 0.0 μB/f.u.
* space-group type: P4/mmm, No. 123



Model x:
Compound: BAs2OsBr
Source: Alexandria
Functional: PBE
Structure: optimized geometry

Lattice parameters (Å, degrees): 4.243 4.243 4.482 90.00 90.00 90.00
Fractional positions:
As (0.000, 0.500, 0.000)
As (0.500, 0.000, 0.000)
B (0.000, 0.000, 0.000)
Os (0.500, 0.500, 0.500)
Br (0.000, 0.000, 0.500)

Output
* D(E_F): 2.91 states/eV/f.u.
* magnetic moment: 0.0 μB/f.u.
* space-group type: P4/mmm, No. 123



Verdict on stability: model w comes out on top.



Model w:
Compound: BAsPBr2
Source: Alexandria
Functional: PBE
Structure: optimized geometry

Lattice parameters (Å, degrees): 4.464 4.464 4.836 90.00 90.00 90.00
Fractional positions:
P (0.500, 0.500, 0.500)
As (0.000, 0.000, 0.500)
B (0.000, 0.000, 0.000)
Br (0.000, 0.500, 0.000)
Br (0.500, 0.000, 0.000)

Output
* D(E_F): 2.38 states/eV/f.u.
* magnetic moment: 0.0 μB/f.u.
* space-group type: P4/mmm, No. 123



Model x:
Compound: BAsPBr2
Source: Alexandria
Functional: PBE
Structure: optimized geometry

Lattice parameters (Å, degrees): 5.118 5.118 4.855 90.00 90.00 90.00
Fractional positions:
P (0.000, 0.000, 0.000)
As (0.000, 0.000, 0.500)
B (0.500, 0.500, 0.500)
Br (0.000, 0.500, 0.000)
Br (0.500, 0.000, 0.000)

Output
* D(E_F): 3.58 states/eV/f.u.
* magnetic moment: 0.0 μB/f.u.
* space-group type: P4/mmm, No. 123



Verdict on stability: model w comes out on top.



Model w:
Compound: BAs2PBr
Source: Alexandria
Functional: PBE
Structure: optimized geometry

Lattice parameters (Å, degrees): 4.532 4.532 4.350 90.00 90.00 90.00
Fractional positions:
P (0.500, 0.500, 0.500)
As (0.000, 0.500, 0.000)
As (0.500, 0.000, 0.000)
B (0.000, 0.000, 0.000)
Br (0.000, 0.000, 0.500)

Output
* D(E_F): 3.02 states/eV/f.u.
* magnetic moment: 0.0 μB/f.u.
* space-group type: P4/mmm, No. 123



Model x:
Compound: BAs2PBr
Source: Alexandria
Functional: PBE
Structure: optimized geometry

Lattice parameters (Å, degrees): 4.746 4.746 5.244 90.00 90.00 90.00
Fractional positions:
P (0.000, 0.000, 0.000)
As (0.000, 0.500, 0.000)
As (0.500, 0.000, 0.000)
B (0.500, 0.500, 0.500)
Br (0.000, 0.000, 0.500)

Output
* D(E_F): 4.07 states/eV/f.u.
* magnetic moment: 0.3 μB/f.u.
* space-group type: P4/mmm, No. 123



Verdict on stability: model w comes out on top.



Model w:
Compound: BAs2PbBr
Source: Alexandria
Functional: PBE
Structure: optimized geometry

Lattice parameters (Å, degrees): 4.351 4.351 6.187 90.00 90.00 90.00
Fractional positions:
Pb (0.500, 0.500, 0.500)
As (0.000, 0.500, 0.000)
As (0.500, 0.000, 0.000)
B (0.000, 0.000, 0.000)
Br (0.000, 0.000, 0.500)

Output
* D(E_F): 0.97 states/eV/f.u.
* magnetic moment: 0.0 μB/f.u.
* space-group type: P4/mmm, No. 123



Model x:
Compound: BAs2PbBr
Source: Alexandria
Functional: PBE
Structure: optimized geometry

Lattice parameters (Å, degrees): 5.505 5.505 5.810 90.00 90.00 90.00
Fractional positions:
Pb (0.000, 0.000, 0.000)
As (0.000, 0.500, 0.000)
As (0.500, 0.000, 0.000)
B (0.500, 0.500, 0.500)
Br (0.000, 0.000, 0.500)

Output
* D(E_F): 2.87 states/eV/f.u.
* magnetic moment: 1.8 μB/f.u.
* space-group type: P4/mmm, No. 123



Verdict on stability: model w comes out on top.



Model w:
Compound: BAsPdBr2
Source: Alexandria
Functional: PBE
Structure: optimized geometry

Lattice parameters (Å, degrees): 5.252 5.252 4.779 90.00 90.00 90.00
Fractional positions:
As (0.000, 0.000, 0.500)
B (0.500, 0.500, 0.500)
Br (0.000, 0.500, 0.000)
Br (0.500, 0.000, 0.000)
Pd (0.000, 0.000, 0.000)

Output
* D(E_F): 3.80 states/eV/f.u.
* magnetic moment: 0.7 μB/f.u.
* space-group type: P4/mmm, No. 123



Model x:
Compound: BAsPdBr2
Source: Alexandria
Functional: PBE
Structure: optimized geometry

Lattice parameters (Å, degrees): 4.846 4.846 4.201 90.00 90.00 90.00
Fractional positions:
As (0.000, 0.000, 0.500)
B (0.000, 0.000, 0.000)
Br (0.000, 0.500, 0.000)
Br (0.500, 0.000, 0.000)
Pd (0.500, 0.500, 0.500)

Output
* D(E_F): 3.71 states/eV/f.u.
* magnetic moment: 0.0 μB/f.u.
* space-group type: P4/mmm, No. 123



Verdict on stability: model x comes out on top.



Model w:
Compound: BAs2PtBr
Source: Alexandria
Functional: PBE
Structure: optimized geometry

Lattice parameters (Å, degrees): 4.826 4.826 5.485 90.00 90.00 90.00
Fractional positions:
As (0.000, 0.500, 0.000)
As (0.500, 0.000, 0.000)
B (0.500, 0.500, 0.500)
Br (0.000, 0.000, 0.500)
Pt (0.000, 0.000, 0.000)

Output
* D(E_F): 4.42 states/eV/f.u.
* magnetic moment: 0.0 μB/f.u.
* space-group type: P4/mmm, No. 123



Model x:
Compound: BAs2PtBr
Source: Alexandria
Functional: PBE
Structure: optimized geometry

Lattice parameters (Å, degrees): 4.449 4.449 4.346 90.00 90.00 90.00
Fractional positions:
As (0.000, 0.500, 0.000)
As (0.500, 0.000, 0.000)
B (0.000, 0.000, 0.000)
Br (0.000, 0.000, 0.500)
Pt (0.500, 0.500, 0.500)

Output
* D(E_F): 2.25 states/eV/f.u.
* magnetic moment: 0.0 μB/f.u.
* space-group type: P4/mmm, No. 123



Verdict on stability: model x comes out on top.



Model w:
Compound: ReBAs2Br
Source: Alexandria
Functional: PBE
Structure: optimized geometry

Lattice parameters (Å, degrees): 4.275 4.275 4.494 90.00 90.00 90.00
Fractional positions:
Re (0.500, 0.500, 0.500)
As (0.000, 0.500, 0.000)
As (0.500, 0.000, 0.000)
B (0.000, 0.000, 0.000)
Br (0.000, 0.000, 0.500)

Output
* D(E_F): 3.48 states/eV/f.u.
* magnetic moment: 1.0 μB/f.u.
* space-group type: P4/mmm, No. 123



Model x:
Compound: ReBAs2Br
Source: Alexandria
Functional: PBE
Structure: optimized geometry

Lattice parameters (Å, degrees): 4.722 4.722 5.583 90.00 90.00 90.00
Fractional positions:
Re (0.000, 0.000, 0.000)
As (0.000, 0.500, 0.000)
As (0.500, 0.000, 0.000)
B (0.500, 0.500, 0.500)
Br (0.000, 0.000, 0.500)

Output
* D(E_F): 2.34 states/eV/f.u.
* magnetic moment: 0.0 μB/f.u.
* space-group type: P4/mmm, No. 123



Verdict on stability: model x comes out on top.



Model w:
Compound: BSbAs2Br
Source: Alexandria
Functional: PBE
Structure: optimized geometry

Lattice parameters (Å, degrees): 5.346 5.346 5.630 90.00 90.00 90.00
Fractional positions:
Sb (0.000, 0.000, 0.000)
As (0.000, 0.500, 0.000)
As (0.500, 0.000, 0.000)
B (0.500, 0.500, 0.500)
Br (0.000, 0.000, 0.500)

Output
* D(E_F): 3.25 states/eV/f.u.
* magnetic moment: 1.1 μB/f.u.
* space-group type: P4/mmm, No. 123



Model x:
Compound: BSbAs2Br
Source: Alexandria
Functional: PBE
Structure: optimized geometry

Lattice parameters (Å, degrees): 4.648 4.648 4.507 90.00 90.00 90.00
Fractional positions:
Sb (0.500, 0.500, 0.500)
As (0.000, 0.500, 0.000)
As (0.500, 0.000, 0.000)
B (0.000, 0.000, 0.000)
Br (0.000, 0.000, 0.500)

Output
* D(E_F): 3.58 states/eV/f.u.
* magnetic moment: 0.0 μB/f.u.
* space-group type: P4/mmm, No. 123



Verdict on stability: model x comes out on top.



Model w:
Compound: BSbAsBr2
Source: Alexandria
Functional: PBE
Structure: optimized geometry

Lattice parameters (Å, degrees): 5.584 5.584 5.492 90.00 90.00 90.00
Fractional positions:
Sb (0.000, 0.000, 0.000)
As (0.000, 0.000, 0.500)
B (0.500, 0.500, 0.500)
Br (0.000, 0.500, 0.000)
Br (0.500, 0.000, 0.000)

Output
* D(E_F): 2.90 states/eV/f.u.
* magnetic moment: 0.7 μB/f.u.
* space-group type: P4/mmm, No. 123



Model x:
Compound: BSbAsBr2
Source: Alexandria
Functional: PBE
Structure: optimized geometry

Lattice parameters (Å, degrees): 4.576 4.576 4.975 90.00 90.00 90.00
Fractional positions:
Sb (0.500, 0.500, 0.500)
As (0.000, 0.000, 0.500)
B (0.000, 0.000, 0.000)
Br (0.000, 0.500, 0.000)
Br (0.500, 0.000, 0.000)

Output
* D(E_F): 1.34 states/eV/f.u.
* magnetic moment: 0.0 μB/f.u.
* space-group type: P4/mmm, No. 123



Verdict on stability: model x comes out on top.



Model w:
Compound: ScBAsBr2
Source: Alexandria
Functional: PBE
Structure: optimized geometry

Lattice parameters (Å, degrees): 5.174 5.434 5.174 90.00 90.00 90.00
Fractional positions:
Sc (0.000, 0.000, 0.000)
As (0.000, 0.500, 0.000)
B (0.500, 0.500, 0.500)
Br (0.000, 0.000, 0.500)
Br (0.500, 0.000, 0.000)

Output
* D(E_F): 4.01 states/eV/f.u.
* magnetic moment: 0.4 μB/f.u.
* space-group type: P4/mmm, No. 123



Model x:
Compound: ScBAsBr2
Source: Alexandria
Functional: PBE
Structure: optimized geometry

Lattice parameters (Å, degrees): 4.492 5.138 4.492 90.00 90.00 90.00
Fractional positions:
Sc (0.000, 0.500, 0.000)
As (0.500, 0.500, 0.500)
B (0.000, 0.000, 0.000)
Br (0.000, 0.000, 0.500)
Br (0.500, 0.000, 0.000)

Output
* D(E_F): 3.39 states/eV/f.u.
* magnetic moment: 0.0 μB/f.u.
* space-group type: P4/mmm, No. 123



Model y:
Compound: ScBAsBr2
Source: Alexandria
Functional: PBE
Structure: optimized geometry

Lattice parameters (Å, degrees): 4.539 4.539 4.836 90.00 90.00 90.00
Fractional positions:
Sc (0.500, 0.500, 0.500)
As (0.000, 0.000, 0.500)
B (0.000, 0.000, 0.000)
Br (0.000, 0.500, 0.000)
Br (0.500, 0.000, 0.000)

Output
* D(E_F): 1.63 states/eV/f.u.
* magnetic moment: 0.0 μB/f.u.
* space-group type: P4/mmm, No. 123



Verdict on stability: model y comes out on top.



Model w:
Compound: ScBAs2Br
Source: Alexandria
Functional: PBE
Structure: optimized geometry

Lattice parameters (Å, degrees): 4.333 4.333 5.120 90.00 90.00 90.00
Fractional positions:
Sc (0.500, 0.500, 0.500)
As (0.000, 0.500, 0.000)
As (0.500, 0.000, 0.000)
B (0.000, 0.000, 0.000)
Br (0.000, 0.000, 0.500)

Output
* D(E_F): 3.18 states/eV/f.u.
* magnetic moment: 0.0 μB/f.u.
* space-group type: P4/mmm, No. 123



Model x:
Compound: ScBAs2Br
Source: Alexandria
Functional: PBE
Structure: optimized geometry

Lattice parameters (Å, degrees): 5.160 5.160 5.244 90.00 90.00 90.00
Fractional positions:
Sc (0.000, 0.000, 0.000)
As (0.000, 0.500, 0.000)
As (0.500, 0.000, 0.000)
B (0.500, 0.500, 0.500)
Br (0.000, 0.000, 0.500)

Output
* D(E_F): 3.80 states/eV/f.u.
* magnetic moment: 0.0 μB/f.u.
* space-group type: P4/mmm, No. 123



Verdict on stability: model w comes out on top.